# 1
MoRuBr: single point on PBEsol structure, meta-GGA SCAN.

Lattice parameters (Å, degrees): 2.949 2.949 6.321 90.00 90.00 120.00
Fractional coordinates of all 3 atoms:
Br  0.000  0.000  0.985
Ru  0.333  0.667  0.353
Mo  0.667  0.333  0.661

Crystal system: trigonal
Density of states at the Fermi level (states/eV/cell): 1.5
Formation energy (no corrections) (eV/atom): 0.511
SG: P3m1

=====

# 2
Mo4RuBr: single point on PBEsol structure, meta-GGA SCAN.

Lattice parameters (Å, degrees): 5.172 5.172 5.172 60.00 60.00 60.00
Fractional coordinates of all 6 atoms:
Br  0.000  0.000  0.000
Ru  0.750  0.750  0.750
Mo  0.375  0.375  0.875
Mo  0.375  0.875  0.375
Mo  0.375  0.375  0.375
Mo  0.875  0.375  0.375

Crystal system: cubic
Density of states at the Fermi level (states/eV/cell): 6.7
Formation energy (no corrections) (eV/atom): 1.009
SG: F-43m

=====

# 3
MoRuBr2: single point on PBEsol structure, meta-GGA SCAN.

Lattice parameters (Å, degrees): 4.468 4.468 4.468 60.00 60.00 60.00
Fractional coordinates of all 4 atoms:
Mo  0.500  0.500  0.500
Ru  0.000  0.000  0.000
Br  0.250  0.250  0.250
Br  0.750  0.750  0.750

Crystal system: cubic
Density of states at the Fermi level (states/eV/cell): 3.3
Formation energy (no corrections) (eV/atom): 1.159
SG: Fm-3m

=====

# 4
MoRuBr2: single point on PBEsol structure, meta-GGA SCAN.

Lattice parameters (Å, degrees): 3.098 3.098 8.620 79.65 79.65 60.00
Fractional coordinates of all 4 atoms:
Mo  0.500  0.500  0.500
Br  0.907  0.907  0.280
Br  0.093  0.093  0.720
Ru  0.000  0.000  0.000

Crystal system: trigonal
Density of states at the Fermi level (states/eV/cell): 2.5
Formation energy (no corrections) (eV/atom): 0.774
SG: R-3m

=====

# 5
Mo3SBr: single point on PBEsol structure, meta-GGA SCAN.

Lattice parameters (Å, degrees): 4.561 4.561 4.561 90.00 90.00 90.00
Fractional coordinates of all 5 atoms:
Br  0.000  0.000  0.000
Mo  0.000  0.000  0.500
Mo  0.000  0.500  0.000
Mo  0.500  0.000  0.000
S  0.500  0.500  0.500

Crystal system: cubic
Density of states at the Fermi level (states/eV/cell): 4.0
Formation energy (no corrections) (eV/atom): 2.038
SG: Pm-3m

=====

# 6
MoSBr2: single point on PBEsol structure, meta-GGA SCAN.

Lattice parameters (Å, degrees): 4.510 6.953 6.953 83.96 71.07 71.07
Last column: magnetic moment on the atom in μB.
Fractional coordinates of all 8 atoms:
Mo  0.750  0.500  0.500  0.98
Br  0.375  0.858  0.642  0.01
Mo  0.000  0.000  0.000  0.98
S  0.500  0.000  0.000  -0.08
Br  0.983  0.642  0.142  0.01
Br  0.767  0.358  0.858  0.01
S  0.250  0.500  0.500  -0.08
Br  0.875  0.142  0.358  0.01

Crystal system: tetragonal
Density of states at the Fermi level (states/eV/cell): 4.0
Formation energy (no corrections) (eV/atom): -0.205
SG: I-42d

=====

# 7
Mo2SBr: single point on PBEsol structure, meta-GGA SCAN.

Lattice parameters (Å, degrees): 4.335 4.335 4.335 60.00 60.00 60.00
Fractional coordinates of all 4 atoms:
S  0.000  0.000  0.000
Mo  0.250  0.250  0.250
Mo  0.750  0.750  0.750
Br  0.500  0.500  0.500

Crystal system: cubic
Density of states at the Fermi level (states/eV/cell): 2.6
Formation energy (no corrections) (eV/atom): 0.613
SG: Fm-3m

=====

# 8
MoSBr: single point on PBEsol structure, meta-GGA SCAN.

Lattice parameters (Å, degrees): 6.965 6.965 6.965 60.00 60.00 60.00
Fractional coordinates of all 12 atoms:
S  0.617  0.149  0.617
S  0.617  0.617  0.617
Br  0.122  0.122  0.122
Mo  0.849  0.849  0.849
Mo  0.849  0.849  0.453
Mo  0.453  0.849  0.849
Mo  0.849  0.453  0.849
Br  0.122  0.122  0.633
S  0.149  0.617  0.617
Br  0.122  0.633  0.122
S  0.617  0.617  0.149
Br  0.633  0.122  0.122

Crystal system: cubic
Formation energy (no corrections) (eV/atom): -0.866
SG: F-43m

=====

What is the formula in the fourth record?
MoRuBr2

=====

Which formula does entry 2 have?
Mo4RuBr

=====

Look up the formation energy (no corrections) of the eighth one.
-0.866 eV/atom

=====

Repeat the third record exactly.
MoRuBr2: single point on PBEsol structure, meta-GGA SCAN.

Lattice parameters (Å, degrees): 4.468 4.468 4.468 60.00 60.00 60.00
Fractional coordinates of all 4 atoms:
Mo  0.500  0.500  0.500
Ru  0.000  0.000  0.000
Br  0.250  0.250  0.250
Br  0.750  0.750  0.750

Crystal system: cubic
Density of states at the Fermi level (states/eV/cell): 3.3
Formation energy (no corrections) (eV/atom): 1.159
SG: Fm-3m